[1]
The following is a DFT calculation (PBE-GGA) of crystalline AgBiIr2Pb at its relaxed geometry.

The structure belongs to space group P4/mmm (No. 123); the cell edges are 5.055, 5.055 and 5.246 Å and the angles 90.00°, 90.00° and 90.00°. Symmetry generates all atoms from Ag at (0.000, 0.000, 0.000), Bi at (0.000, 0.000, 0.500), Ir at (0.000, 0.500, 0.500) and Pb at (0.500, 0.500, 0.000).

The calculation puts the spin magnetization at 0.00 μB/f.u. As for the formation energy: 1.2579 eV per atom.

=====

[2]
The following is a DFT calculation (PBE-GGA) of crystalline CsBaSr2Ni at its relaxed geometry.

The structure belongs to space group P4/mmm (No. 123); the cell edges are 6.231, 6.231 and 6.341 Å and the angles 90.00°, 90.00° and 90.00°. Symmetry generates all atoms from Cs at (0.000, 0.000, 0.000), Ba at (0.500, 0.500, 0.000), Sr at (0.000, 0.500, 0.500) and Ni at (0.500, 0.500, 0.500).

The calculation puts the spin magnetization at 0.00 μB/f.u. As for the formation energy: 0.0992 eV per atom.

=====

[3]
The following is a DFT calculation (PBE-GGA) of crystalline CuW2Br at its relaxed geometry.

The structure belongs to space group Cmmm (No. 65); the cell edges are 3.010, 4.757 and 9.244 Å and the angles 90.00°, 90.00° and 90.00°. Symmetry generates all atoms from Cu at (0.000, 0.000, 0.000), W at (0.000, 0.500, 0.236) and Br at (0.000, 0.000, 0.500).

The calculation puts the spin magnetization at 0.00 μB/f.u. Its energy relative to the lowest polymorph listed for this composition is 555 meV/atom. Its uncorrected formation energy is 1.08 eV per atom.

=====

[4]
The following is a DFT calculation (PBE-GGA) of crystalline Na4Zr3VS8 at its relaxed geometry.

The structure belongs to space group R-3m (No. 166, hexagonal axes); the cell edges are 7.3429, 7.3429 and 20.3529 Å and the angles 90.00°, 90.00° and 120.00°. Symmetry generates all atoms from Na at (0.0000, 0.0000, 0.0000), Na at (0.0000, 0.5000, 0.0000), Zr at (0.0000, 0.5000, 0.5000), V at (0.0000, 0.0000, 0.5000), S at (0.0000, 0.0000, 0.2419) and S at (0.0085, 0.5042, 0.2396).

The calculation puts the spin magnetization at 2.34 μB/f.u. Its uncorrected formation energy is -1.39 eV per atom.

=====

[5]
The following is a DFT calculation (PBE-GGA) of crystalline ZrTlFe2 at its relaxed geometry.

The structure belongs to space group Cm (No. 8); the cell edges are 10.099, 3.357 and 4.503 Å and the angles 90.00°, 116.35° and 90.00°. Symmetry generates all atoms from Zr at (0.000, 0.000, 0.000), Tl at (0.278, 0.500, 0.279), Fe at (0.036, 0.500, 0.535) and Fe at (0.230, 0.000, 0.731).

The calculation puts the spin magnetization at 3.74 μB/f.u. As for the formation energy: 0.1792 eV per atom. Its energy relative to the lowest polymorph listed for this composition is 41 meV/atom.

=====

[6]
The following is a DFT calculation (PBE-GGA) of crystalline TaGe2 at its relaxed geometry.

The structure belongs to space group I4/mmm (No. 139); the cell edges are 3.402, 3.402 and 8.536 Å and the angles 90.00°, 90.00° and 90.00°. Symmetry generates all atoms from Ta at (0.000, 0.000, 0.000) and Ge at (0.000, 0.000, 0.336).

The calculation puts the spin magnetization at 0.00 μB/f.u. As for the formation energy: -0.1805 eV per atom.

=====

[7]
The following is a DFT calculation (PBE-GGA) of crystalline TlTeP2 at its relaxed geometry.

The structure belongs to space group I-4m2 (No. 119); the cell edges are 3.922, 3.922 and 12.484 Å and the angles 90.00°, 90.00° and 90.00°. Symmetry generates all atoms from Tl at (0.000, 0.000, 0.000), Te at (0.000, 0.500, 0.250), P at (0.000, 0.000, 0.500) and P at (0.000, 0.500, 0.750).

The calculation puts the spin magnetization at 0.00 μB/f.u. Its energy relative to the lowest polymorph listed for this composition is 592 meV/atom. Its uncorrected formation energy is 0.62 eV per atom.

=====

[8]
The following is a DFT calculation (PBE-GGA) of crystalline CdHgSe2 at its relaxed geometry.

The structure belongs to space group Cm (No. 8); the cell edges are 13.774, 3.741 and 3.961 Å and the angles 90.00°, 90.03° and 90.00°. Symmetry generates all atoms from Cd at (0.000, 0.000, 0.000), Hg at (0.242, 0.000, 0.502), Se at (0.169, 0.500, 0.001) and Se at (0.435, 0.000, 0.500).

The calculation puts the spin magnetization at 0.00 μB/f.u. Its energy relative to the lowest polymorph listed for this composition is 235 meV/atom. Its uncorrected formation energy is -0.18 eV per atom.

=====

[9]
The following is a DFT calculation (PBE-GGA) of crystalline Na2LiCd6 at its relaxed geometry.

The structure belongs to space group C2/m (No. 12); the cell edges are 11.386, 6.566 and 5.874 Å and the angles 90.00°, 90.07° and 90.00°. Symmetry generates all atoms from Na at (0.166, 0.000, 0.170), Li at (0.000, 0.500, 0.000), Cd at (0.090, 0.232, 0.687) and Cd at (0.179, 0.500, 0.312).

The calculation puts the spin magnetization at 0.00 μB/f.u. As for the formation energy: -0.0740 eV per atom. Its energy relative to the lowest polymorph listed for this composition is 54 meV/atom.

=====

[10]
The following is a DFT calculation (PBE-GGA) of crystalline Ho3UO7 at its relaxed geometry.

The structure belongs to space group Cmcm (No. 63); the cell edges are 7.554, 10.738 and 7.671 Å and the angles 90.00°, 90.00° and 90.00°. Symmetry generates all atoms from Ho at (0.000, 0.000, 0.000), Ho at (0.232, 0.263, 0.250), U at (0.000, 0.500, 0.000), O at (0.000, 0.133, 0.250), O at (0.000, 0.134, 0.750), O at (0.000, 0.403, 0.250) and O at (0.212, 0.374, 0.531).

The calculation puts the spin magnetization at 1.00 μB/f.u. Its uncorrected formation energy is -3.50 eV per atom.

=====

[11]
The following is a DFT calculation (PBE-GGA) of crystalline ZnCdMo at its relaxed geometry.

The structure belongs to space group F-43m (No. 216); the cell edges are 6.135, 6.135 and 6.135 Å and the angles 90.00°, 90.00° and 90.00°. Symmetry generates all atoms from Zn at (0.000, 0.000, 0.000), Cd at (0.250, 0.250, 0.250) and Mo at (0.250, 0.250, 0.750).

The calculation puts the spin magnetization at 1.97 μB/f.u. As for the formation energy: 0.7663 eV per atom. Its energy relative to the lowest polymorph listed for this composition is 573 meV/atom.

=====

[12]
The following is a DFT calculation (PBE-GGA) of crystalline Zr6Cd5Hg at its relaxed geometry.

The structure belongs to space group Immm (No. 71); the cell edges are 4.446, 8.792 and 13.285 Å and the angles 90.00°, 90.00° and 90.00°. Symmetry generates all atoms from Zr at (0.000, 0.247, 0.000), Zr at (0.000, 0.251, 0.334), Cd at (0.000, 0.000, 0.170), Cd at (0.000, 0.000, 0.500), Cd at (0.000, 0.500, 0.165) and Hg at (0.000, 0.500, 0.500).

The calculation puts the spin magnetization at 0.00 μB/f.u. As for the formation energy: -0.1196 eV per atom.

=====

[13]
The following is a DFT calculation (PBE-GGA) of crystalline Nd2Dy2HoTm2 at its relaxed geometry.

The structure belongs to space group C2/m (No. 12); the cell edges are 11.676, 3.508 and 11.796 Å and the angles 90.00°, 109.30° and 90.00°. Symmetry generates all atoms from Nd at (0.171, 0.000, 0.085), Dy at (0.050, 0.000, 0.768), Ho at (0.000, 0.500, 0.500) and Tm at (0.227, 0.500, 0.365).

The calculation puts the spin magnetization at 0.00 μB/f.u. As for the formation energy: 0.0859 eV per atom.

=====

[14]
The following is a DFT calculation (PBE-GGA) of crystalline Cs2HgI at its relaxed geometry.

The structure belongs to space group Cmcm (No. 63); the cell edges are 5.506, 31.237 and 5.483 Å and the angles 90.00°, 90.00° and 90.00°. Symmetry generates all atoms from Cs at (0.000, 0.065, 0.250), Cs at (0.000, 0.315, 0.250), Hg at (0.000, 0.476, 0.250) and I at (0.000, 0.190, 0.250).

The calculation puts the spin magnetization at 0.00 μB/f.u. Its energy relative to the lowest polymorph listed for this composition is 0 meV/atom. Its uncorrected formation energy is -0.87 eV per atom.

=====

[15]
The following is a DFT calculation (PBE-GGA) of crystalline Rb3AlH at its relaxed geometry.

The structure belongs to space group Pm-3m (No. 221); the cell edges are 5.856, 5.856 and 5.856 Å and the angles 90.00°, 90.00° and 90.00°. Symmetry generates all atoms from Rb at (0.000, 0.000, 0.500), Al at (0.500, 0.500, 0.500) and H at (0.000, 0.000, 0.000).

The value obtained for the total energy is -1.779 eV/atom. The calculation puts the spin magnetization at 0.00 μB/f.u.

=====

[16]
The following is a DFT calculation (PBE-GGA) of crystalline Cr2IrCl at its relaxed geometry.

The structure belongs to space group I-4m2 (No. 119); the cell edges are 3.511, 3.511 and 11.768 Å and the angles 90.00°, 90.00° and 90.00°. Symmetry generates all atoms from Cr at (0.000, 0.000, 0.000), Cr at (0.000, 0.500, 0.250), Ir at (0.000, 0.500, 0.750) and Cl at (0.000, 0.000, 0.500).

The calculation puts the spin magnetization at 7.29 μB/f.u. Its energy relative to the lowest polymorph listed for this composition is 645 meV/atom. Its uncorrected formation energy is 0.72 eV per atom.

=====

[17]
The following is a DFT calculation (PBE-GGA) of crystalline Dy3Ge5Ir6 at its relaxed geometry.

The structure belongs to space group Pmmn (No. 59, origin choice 2); the cell edges are 4.108, 12.664 and 9.697 Å and the angles 90.00°, 90.00° and 90.00°. Symmetry generates all atoms from Dy at (0.250, 0.083, 0.249), Dy at (0.250, 0.750, 0.247), Ge at (0.250, 0.080, 0.650), Ge at (0.250, 0.633, 0.978), Ge at (0.250, 0.750, 0.637), Ir at (0.250, 0.049, 0.900), Ir at (0.250, 0.250, 0.005), Ir at (0.250, 0.250, 0.513) and Ir at (0.250, 0.583, 0.495).

The calculation puts the spin magnetization at 0.00 μB/f.u. As for the formation energy: -0.7694 eV per atom.

=====

[18]
The following is a DFT calculation (PBE-GGA) of crystalline MgFe4 at its relaxed geometry.

The structure belongs to space group I4/m (No. 87); the cell edges are 5.645, 5.645 and 4.007 Å and the angles 90.00°, 90.00° and 90.00°. Symmetry generates all atoms from Mg at (0.000, 0.000, 0.000) and Fe at (0.082, 0.303, 0.500).

The calculation puts the spin magnetization at 9.36 μB/f.u. As for the formation energy: 0.1875 eV per atom. Its energy relative to the lowest polymorph listed for this composition is 0 meV/atom.

=====

[19]
The following is a DFT calculation (PBE-GGA) of crystalline CaIn6Sn at its relaxed geometry.

The structure belongs to space group P4/mmm (No. 123); the cell edges are 7.096, 7.096 and 4.374 Å and the angles 90.00°, 90.00° and 90.00°. Symmetry generates all atoms from Ca at (0.000, 0.000, 0.000), In at (0.000, 0.500, 0.000), In at (0.258, 0.258, 0.500) and Sn at (0.500, 0.500, 0.000).

The calculation puts the spin magnetization at 0.00 μB/f.u. As for the formation energy: -0.1429 eV per atom.

=====

[20]
The following is a DFT calculation (PBE-GGA) of crystalline NaCaMnBr5 at its relaxed geometry.

The structure belongs to space group C2/c (No. 15); the cell edges are 9.384, 12.161 and 10.446 Å and the angles 90.00°, 114.00° and 90.00°. Symmetry generates all atoms from Na at (0.000, 0.155, 0.250), Ca at (0.000, 0.500, 0.000), Mn at (0.000, 0.178, 0.750), Br at (0.000, 0.399, 0.250), Br at (0.140, 0.295, 0.641) and Br at (0.169, 0.049, 0.938).

The calculation puts the spin magnetization at 5.00 μB/f.u. Its uncorrected formation energy is -1.42 eV per atom.

=====

[21]
The following is a DFT calculation (PBE-GGA) of crystalline Ac3Pd4Pb at its relaxed geometry.

The structure belongs to space group Immm (No. 71); the cell edges are 4.209, 6.824 and 15.745 Å and the angles 90.00°, 90.00° and 90.00°. Symmetry generates all atoms from Ac at (0.000, 0.000, 0.000), Ac at (0.000, 0.500, 0.189), Pd at (0.000, 0.302, 0.373) and Pb at (0.000, 0.000, 0.500).

The calculation puts the spin magnetization at 0.00 μB/f.u. As for the formation energy: -0.6903 eV per atom.

=====

[22]
The following is a DFT calculation (PBE-GGA) of crystalline U2ReHg at its relaxed geometry.

The structure belongs to space group P4/mmm (No. 123); the cell edges are 3.085, 3.085 and 8.865 Å and the angles 90.00°, 90.00° and 90.00°. Symmetry generates all atoms from U at (0.000, 0.000, 0.215), Re at (0.500, 0.500, 0.000) and Hg at (0.500, 0.500, 0.500).

The calculation puts the spin magnetization at 2.18 μB/f.u. As for the formation energy: 0.1546 eV per atom.

=====

[23]
The following is a DFT calculation (PBE-GGA) of crystalline TbNd2In2Rh5 at its relaxed geometry.

The structure belongs to space group P4/mbm (No. 127); the cell edges are 10.483, 10.483 and 3.743 Å and the angles 90.00°, 90.00° and 90.00°. Symmetry generates all atoms from Tb at (0.000, 0.000, 0.000), Nd at (0.171, 0.329, 0.000), In at (0.127, 0.627, 0.000), Rh at (0.000, 0.500, 0.500) and Rh at (0.063, 0.797, 0.500).

The calculation puts the spin magnetization at 0.00 μB/f.u. As for the formation energy: -0.5167 eV per atom.